[1]
First-principles (PBE) data for a relaxed ZrCrRu4 crystal, as listed in the Alexandria database.

The value obtained for the formation enthalpy at 0 K is 0.4 eV/f.u.

Lattice parameters (Å, degrees): 5.1425 5.1425 5.1425 60.00 60.00 60.00
Closest atoms and distances in Å follow each position.
Fractional positions:
1 Zr 0.0000 0.0000 0.0000  12 Ru 3.02, 4 Cr 3.15
2 Cr 0.7500 0.7500 0.7500  12 Ru 3.01, 4 Zr 3.15
3 Ru 0.3758 0.3758 0.3758  6 Ru 2.55-2.59
4 Ru 0.3758 0.3758 0.8725  6 Ru 2.55-2.59
5 Ru 0.3758 0.8725 0.3758  6 Ru 2.55-2.59
6 Ru 0.8725 0.3758 0.3758  6 Ru 2.55-2.59

***

[2]
First-principles (PBE) data for a relaxed ZrCrRu2 crystal, as listed in the Alexandria database.

The value obtained for the formation enthalpy at 0 K is 0.5 eV/f.u.

Lattice parameters (Å, degrees): 5.5643 8.4383 2.8511 90.00 111.77 90.00
Closest atoms and distances in Å follow each position.
Fractional positions:
1 Zr 0.0000 0.0000 0.0000  4 Ru 2.64, 2 Cr 2.78, 2 Zr 2.85
2 Zr 0.5000 0.5000 0.0000  4 Ru 2.64, 2 Cr 2.78, 2 Zr 2.85
3 Cr 0.0000 0.5000 0.0000  4 Ru 2.64, 2 Zr 2.78, 2 Cr 2.85
4 Cr 0.5000 0.0000 0.0000  4 Ru 2.64, 2 Zr 2.78, 2 Cr 2.85
5 Ru 0.2500 0.2500 0.5000  2 Zr 2.64, 2 Cr 2.64, 4 Ru 2.78-2.85
6 Ru 0.2500 0.7500 0.5000  2 Zr 2.64, 2 Cr 2.64, 4 Ru 2.78-2.85
7 Ru 0.7500 0.2500 0.5000  2 Cr 2.64, 2 Zr 2.64, 4 Ru 2.78-2.85
8 Ru 0.7500 0.7500 0.5000  2 Cr 2.64, 2 Zr 2.64, 4 Ru 2.78-2.85

***

[3]
First-principles (PBE) data for a relaxed ZrCrRu2 crystal, as listed in the Alexandria database.

The value obtained for the formation enthalpy at 0 K is 0.3 eV/f.u.

Lattice parameters (Å, degrees): 3.1509 4.2550 4.6127 90.00 90.00 90.00
Closest atoms and distances in Å follow each position.
Fractional positions:
1 Zr 0.0000 0.0000 0.0000  4 Ru 2.65, 4 Cr 2.79
2 Cr 0.5000 0.0000 0.5000  4 Ru 2.65, 4 Zr 2.79
3 Ru 0.0000 0.5000 0.5000  4 Cr 2.65, 4 Ru 2.79
4 Ru 0.5000 0.5000 0.0000  4 Zr 2.65, 4 Ru 2.79

***

[4]
First-principles (PBE) data for a relaxed ZrCrRu2 crystal, as listed in the Alexandria database.

The value obtained for the formation enthalpy at 0 K is 0.0 eV/f.u.

Lattice parameters (Å, degrees): 9.7957 3.0738 4.5037 90.00 111.86 90.00
Closest atoms and distances in Å follow each position.
Fractional positions:
1 Zr 0.0000 0.0000 0.0000  7 Ru 2.67-2.80, 3 Cr 2.90-2.99
2 Zr 0.5000 0.5000 0.0000  7 Ru 2.67-2.80, 3 Cr 2.90-2.99
3 Cr 0.2626 0.5000 0.3485  7 Ru 2.61-2.91, 2 Zr 2.90
4 Cr 0.7626 0.0000 0.3485  7 Ru 2.61-2.91, 2 Zr 2.90
5 Ru 0.2431 0.0000 0.8243  4 Cr 2.70-2.76, 3 Zr 2.77-2.80, 2 Ru 2.82
6 Ru 0.4932 0.0000 0.4795  3 Cr 2.61-2.91, 4 Zr 2.67-2.78, 2 Ru 2.82
7 Ru 0.7431 0.5000 0.8243  4 Cr 2.70-2.76, 3 Zr 2.77-2.80, 2 Ru 2.82
8 Ru 0.9932 0.5000 0.4795  3 Cr 2.61-2.91, 4 Zr 2.67-2.78, 2 Ru 2.82

***

[5]
First-principles (PBE) data for a relaxed ZrCr2Ru crystal, as listed in the Alexandria database.

The distance to the lowest polymorph of the same formula is 183 meV/atom. The value obtained for the formation enthalpy at 0 K is 0.8 eV/f.u.

Lattice parameters (Å, degrees): 2.7723 4.2618 5.1636 90.00 101.77 90.00
Closest atoms and distances in Å follow each position.
Fractional positions:
1 Zr 0.0000 0.0000 0.0000  2 Ru 2.67, 4 Cr 2.74, 2 Zr 2.77
2 Cr 0.2148 0.5000 0.7094  1 Cr 2.25
3 Cr 0.7852 0.5000 0.2906  1 Cr 2.25
4 Ru 0.5000 0.0000 0.5000  4 Cr 2.59, 2 Zr 2.67, 2 Ru 2.77

***

[6]
First-principles (PBE) data for a relaxed ZrCrRu2 crystal, as listed in the Alexandria database.

The value obtained for the formation enthalpy at 0 K is 0.1 eV/f.u.

Lattice parameters (Å, degrees): 3.8385 3.8385 8.5850 90.00 90.00 90.00
Closest atoms and distances in Å follow each position.
Fractional positions:
1 Zr 0.0000 0.0000 0.0000  8 Ru 2.71-2.88, 4 Cr 2.88
2 Zr 0.5000 0.5000 0.5000  8 Ru 2.71-2.88, 4 Cr 2.88
3 Cr 0.0000 0.5000 0.7500  8 Ru 2.71-2.88, 4 Zr 2.88
4 Cr 0.5000 0.0000 0.2500  8 Ru 2.71-2.88, 4 Zr 2.88
5 Ru 0.0000 0.0000 0.5000  4 Zr 2.71, 4 Cr 2.88, 4 Ru 2.88
6 Ru 0.0000 0.5000 0.2500  4 Cr 2.71, 4 Zr 2.88, 4 Ru 2.88
7 Ru 0.5000 0.0000 0.7500  4 Cr 2.71, 4 Zr 2.88, 4 Ru 2.88
8 Ru 0.5000 0.5000 0.0000  4 Zr 2.71, 4 Cr 2.88, 4 Ru 2.88

***

[7]
First-principles (PBE) data for a relaxed ZrCr2Ru crystal, as listed in the Alexandria database.

The distance to the lowest polymorph of the same formula is 308 meV/atom. The value obtained for the formation enthalpy at 0 K is 1.3 eV/f.u.

Lattice parameters (Å, degrees): 2.8998 2.8998 24.7457 90.00 90.00 120.00
Closest atoms and distances in Å follow each position.
Fractional positions:
1 Zr 0.0000 0.0000 0.0000  3 Cr 2.86, 3 Ru 2.90, 6 Zr 2.90
2 Zr 0.3333 0.6667 0.6667  3 Cr 2.86, 3 Ru 2.90, 6 Zr 2.90
3 Zr 0.6667 0.3333 0.3333  3 Cr 2.86, 3 Ru 2.90, 6 Zr 2.90
4 Cr 0.0000 0.0000 0.4927  3 Cr 2.34, 3 Ru 2.56
5 Cr 0.0000 0.0000 0.7602  3 Cr 2.34
6 Cr 0.3333 0.6667 0.1594  3 Cr 2.34, 3 Ru 2.56
7 Cr 0.3333 0.6667 0.4269  3 Cr 2.34
8 Cr 0.6667 0.3333 0.0936  3 Cr 2.34
9 Cr 0.6667 0.3333 0.8260  3 Cr 2.34, 3 Ru 2.56
10 Ru 0.0000 0.0000 0.2377  3 Cr 2.56
11 Ru 0.3333 0.6667 0.9044  3 Cr 2.56
12 Ru 0.6667 0.3333 0.5710  3 Cr 2.56

***

[8]
First-principles (PBE) data for a relaxed ZrCr2Ru crystal, as listed in the Alexandria database.

The distance to the lowest polymorph of the same formula is 92 meV/atom. The value obtained for the formation enthalpy at 0 K is 0.4 eV/f.u.

Lattice parameters (Å, degrees): 9.6977 3.0676 4.5223 90.00 117.70 90.00
Closest atoms and distances in Å follow each position.
Fractional positions:
1 Zr 0.0000 0.0000 0.0000  8 Cr 2.73-3.01, 4 Ru 2.74-3.03
2 Zr 0.5000 0.5000 0.0000  8 Cr 2.73-3.01, 4 Ru 2.74-3.03
3 Cr 0.2695 0.5000 0.2701  2 Cr 2.44
4 Cr 0.4907 0.0000 0.4906  2 Cr 2.44, 2 Ru 2.60, 4 Zr 2.73
5 Cr 0.7695 0.0000 0.2701  2 Cr 2.44
6 Cr 0.9907 0.5000 0.4906  2 Cr 2.44, 2 Ru 2.60, 4 Zr 2.73
7 Ru 0.2351 0.0000 0.7348  6 Cr 2.60-2.75, 2 Zr 2.74
8 Ru 0.7351 0.5000 0.7348  6 Cr 2.60-2.75, 2 Zr 2.74

***

[9]
First-principles (PBE) data for a relaxed ZrCrRu2 crystal, as listed in the Alexandria database.

The value obtained for the formation enthalpy at 0 K is 0.1 eV/f.u.

Lattice parameters (Å, degrees): 3.0480 4.6019 8.7480 90.00 90.00 90.00
Closest atoms and distances in Å follow each position.
Fractional positions:
1 Zr 0.0000 0.0000 0.0000  4 Cr 2.76, 8 Ru 2.87-3.01, 2 Zr 3.05
2 Zr 0.5000 0.5000 0.5000  4 Cr 2.76, 8 Ru 2.87-3.01, 2 Zr 3.05
3 Cr 0.0000 0.0000 0.5000  4 Ru 2.47, 4 Zr 2.76
4 Cr 0.5000 0.5000 0.0000  4 Ru 2.47, 4 Zr 2.76
5 Ru 0.0000 0.5000 0.2215  2 Cr 2.47
6 Ru 0.0000 0.5000 0.7785  2 Cr 2.47
7 Ru 0.5000 0.0000 0.2785  2 Cr 2.47
8 Ru 0.5000 0.0000 0.7215  2 Cr 2.47

***

[10]
First-principles (PBE) data for a relaxed ZrCrRu2 crystal, as listed in the Alexandria database.

The value obtained for the formation enthalpy at 0 K is 0.1 eV/f.u.

Lattice parameters (Å, degrees): 2.8555 4.0980 5.4240 90.00 103.19 90.00
Closest atoms and distances in Å follow each position.
Fractional positions:
1 Zr 0.0000 0.0000 0.0000  2 Cr 2.76, 8 Ru 2.83-2.99, 2 Zr 2.86
2 Cr 0.5000 0.0000 0.5000  4 Ru 2.48, 2 Zr 2.76
3 Ru 0.3183 0.5000 0.7188  2 Cr 2.48, 1 Ru 2.64
4 Ru 0.6817 0.5000 0.2812  2 Cr 2.48, 1 Ru 2.64

***

[11]
First-principles (PBE) data for a relaxed ZrCr2Ru crystal, as listed in the Alexandria database.

The distance to the lowest polymorph of the same formula is 99 meV/atom. The value obtained for the formation enthalpy at 0 K is 0.4 eV/f.u.

Lattice parameters (Å, degrees): 3.0967 4.3348 8.8273 90.00 90.00 90.00
Closest atoms and distances in Å follow each position.
Fractional positions:
1 Zr 0.0000 0.0000 0.0000  4 Ru 2.66, 4 Cr 2.73
2 Zr 0.5000 0.5000 0.5000  4 Ru 2.66, 4 Cr 2.73
3 Cr 0.0000 0.5000 0.2456  2 Ru 2.66, 4 Cr 2.66, 2 Zr 2.73
4 Cr 0.0000 0.5000 0.7544  2 Ru 2.66, 4 Cr 2.66, 2 Zr 2.73
5 Cr 0.5000 0.0000 0.2544  2 Ru 2.66, 4 Cr 2.66, 2 Zr 2.73
6 Cr 0.5000 0.0000 0.7456  2 Ru 2.66, 4 Cr 2.66, 2 Zr 2.73
7 Ru 0.0000 0.0000 0.5000  4 Zr 2.66, 4 Cr 2.66
8 Ru 0.5000 0.5000 0.0000  4 Zr 2.66, 4 Cr 2.66

***

[12]
First-principles (PBE) data for a relaxed ZrCrRu2 crystal, as listed in the Alexandria database.

The value obtained for the formation enthalpy at 0 K is 0.7 eV/f.u.

Lattice parameters (Å, degrees): 2.7896 2.7896 27.1385 90.00 90.00 120.00
Closest atoms and distances in Å follow each position.
Fractional positions:
1 Zr 0.0000 0.0000 0.0000  6 Zr 2.79, 6 Ru 3.01
2 Zr 0.3333 0.6667 0.6667  6 Zr 2.79, 6 Ru 3.01
3 Zr 0.6667 0.3333 0.3333  6 Zr 2.79, 6 Ru 3.01
4 Cr 0.0000 0.0000 0.5000  6 Ru 2.55, 6 Cr 2.79
5 Cr 0.3333 0.6667 0.1667  6 Ru 2.55, 6 Cr 2.79
6 Cr 0.6667 0.3333 0.8333  6 Ru 2.55, 6 Cr 2.79
7 Ru 0.0000 0.0000 0.2397  3 Cr 2.55, 6 Ru 2.79
8 Ru 0.0000 0.0000 0.7603  3 Cr 2.55, 6 Ru 2.79
9 Ru 0.3333 0.6667 0.4270  3 Cr 2.55, 6 Ru 2.79
10 Ru 0.3333 0.6667 0.9064  3 Cr 2.55, 6 Ru 2.79
11 Ru 0.6667 0.3333 0.0936  3 Cr 2.55, 6 Ru 2.79
12 Ru 0.6667 0.3333 0.5730  3 Cr 2.55, 6 Ru 2.79

***

[13]
First-principles (PBE) data for a relaxed ZrCr2Ru crystal, as listed in the Alexandria database.

The distance to the lowest polymorph of the same formula is 0 meV/atom. The value obtained for the formation enthalpy at 0 K is 0.0 eV/f.u.

Lattice parameters (Å, degrees): 3.1712 4.2766 4.5724 90.00 90.00 90.00
Closest atoms and distances in Å follow each position.
Fractional positions:
1 Zr 0.0000 0.0000 0.0000  4 Ru 2.66, 4 Cr 2.78
2 Cr 0.0000 0.5000 0.5000  4 Cr 2.66, 4 Ru 2.78
3 Cr 0.5000 0.0000 0.5000  4 Cr 2.66, 4 Zr 2.78
4 Ru 0.5000 0.5000 0.0000  4 Zr 2.66, 4 Cr 2.78